# 1
K2InAuBr6 | Alexandria via LeMat-Bulk | PBE | relaxed; SG = Fm-3m; energy relative to the lowest polymorph listed for this composition = 0.0753 eV/atom
1.0
0.0000 5.5255 5.5255
5.5255 0.0000 5.5255
5.5255 5.5255 0.0000
Br In Au K
6 1 1 2
Direct
0.7516 0.2484 0.7516
0.2484 0.2484 0.7516
0.7516 0.2484 0.2484
0.2484 0.7516 0.7516
0.2484 0.7516 0.2484
0.7516 0.7516 0.2484
0.0000 0.0000 0.0000
0.5000 0.5000 0.5000
0.2500 0.2500 0.2500
0.7500 0.7500 0.7500

# 2
K2InAuBr6 | Alexandria via LeMat-Bulk | PBE | relaxed; SG = P1; energy relative to the lowest polymorph listed for this composition = 0.0000 eV/atom
1.0
7.9528 -0.0181 0.0938
3.9551 7.0038 0.1139
4.0461 2.3961 6.7842
In Au Br K
1 1 6 2
Direct
0.3104 0.3044 0.0483
0.6069 0.8707 0.7419
0.1457 0.4459 0.7762
0.6932 0.1136 0.7545
0.4861 0.6604 0.7211
0.0206 0.5492 0.2476
0.5795 0.1964 0.2086
0.1973 0.9773 0.2581
0.5644 0.5325 0.3425
0.0574 0.0112 0.9165

# 3
Mn2InAuBr | Alexandria via LeMat-Bulk | PBE | relaxed; SG = P4/mmm; energy relative to the lowest polymorph listed for this composition = 0.0000 eV/atom
1.0
4.9931 0.0000 0.0000
0.0000 6.4526 0.0000
0.0000 0.0000 4.9931
Br Au Mn In
1 1 2 1
Direct
0.0000 0.5000 0.0000
0.0000 0.0000 0.0000
0.0000 0.0000 0.5000
0.5000 0.0000 0.0000
0.5000 0.5000 0.5000

| no. | final energy (eV/atom) |
| --- | --- |
| 1 | -2.7901 |
| 2 | -2.8654 |
| 3 | -4.5744 |